This record from the Alexandria database describes a relaxed structure of RbSiSb2Te. The functional is PBE-GGA.

Cell and atoms, written as CIF:
```
data_RbSiSb2Te
_chemical_formula_sum 'Rb1 Si1 Sb2 Te1'
_symmetry_space_group_name_H-M 'P 4/m m m'
_symmetry_Int_Tables_number 123
_symmetry_space_group_name_Hall '-P 4 2'
_cell_length_a 5.383
_cell_length_b 5.383
_cell_length_c 5.658
_cell_angle_alpha 90.00
_cell_angle_beta 90.00
_cell_angle_gamma 90.00
loop_
_atom_site_label
_atom_site_type_symbol
_atom_site_fract_x
_atom_site_fract_y
_atom_site_fract_z
Rb1 Rb 0.000 0.000 0.000
Si1 Si 0.500 0.500 0.500
Sb1 Sb 0.000 0.500 0.500
Te1 Te 0.500 0.500 0.000
```

## Properties
Formation energy without anion corrections: 0.89 eV/f.u.
DOS at the Fermi energy: 1.166 states/eV per atom
Polymorph energy (0 for the lowest one): 0.0000 eV/atom
Electronic total energy: -3.3781 eV/atom

***

This record from the Alexandria database describes a relaxed structure of RbSiSbTe2. The functional is PBE-GGA.

Cell and atoms, written as CIF:
```
data_RbSiSbTe2
_chemical_formula_sum 'Rb1 Si1 Sb1 Te2'
_symmetry_space_group_name_H-M 'P 4/m m m'
_symmetry_Int_Tables_number 123
_symmetry_space_group_name_Hall '-P 4 2'
_cell_length_a 6.177
_cell_length_b 6.177
_cell_length_c 5.970
_cell_angle_alpha 90.00
_cell_angle_beta 90.00
_cell_angle_gamma 90.00
loop_
_atom_site_label
_atom_site_type_symbol
_atom_site_fract_x
_atom_site_fract_y
_atom_site_fract_z
Rb1 Rb 0.000 0.000 0.000
Si1 Si 0.500 0.500 0.500
Sb1 Sb 0.000 0.000 0.500
Te1 Te 0.000 0.500 0.000
```

## Properties
Formation energy without anion corrections: 7.71 eV/f.u.
DOS at the Fermi energy: 1.608 states/eV per atom
Polymorph energy (0 for the lowest one): 1.5080 eV/atom
Electronic total energy: -1.8163 eV/atom

***

This record from the Alexandria database describes a relaxed structure of RbSiSbTe2. The functional is PBE-GGA.

Cell and atoms, written as CIF:
```
data_RbSiSbTe2
_chemical_formula_sum 'Rb1 Si1 Sb1 Te2'
_symmetry_space_group_name_H-M 'P 4/m m m'
_symmetry_Int_Tables_number 123
_symmetry_space_group_name_Hall '-P 4 2'
_cell_length_a 5.584
_cell_length_b 5.584
_cell_length_c 5.312
_cell_angle_alpha 90.00
_cell_angle_beta 90.00
_cell_angle_gamma 90.00
loop_
_atom_site_label
_atom_site_type_symbol
_atom_site_fract_x
_atom_site_fract_y
_atom_site_fract_z
Rb1 Rb 0.000 0.000 0.000
Si1 Si 0.500 0.500 0.500
Sb1 Sb 0.500 0.500 0.000
Te1 Te 0.000 0.500 0.500
```

## Properties
Formation energy without anion corrections: 0.17 eV/f.u.
DOS at the Fermi energy: 0.838 states/eV per atom
Polymorph energy (0 for the lowest one): 0.0000 eV/atom
Electronic total energy: -3.3244 eV/atom

***

This record from the Alexandria database describes a relaxed structure of Rb2ZrSiSb. The functional is PBE-GGA.

Cell and atoms, written as CIF:
```
data_Rb2ZrSiSb
_chemical_formula_sum 'Rb2 Zr1 Si1 Sb1'
_symmetry_space_group_name_H-M 'P 4/m m m'
_symmetry_Int_Tables_number 123
_symmetry_space_group_name_Hall '-P 4 2'
_cell_length_a 6.291
_cell_length_b 6.291
_cell_length_c 5.139
_cell_angle_alpha 90.00
_cell_angle_beta 90.00
_cell_angle_gamma 90.00
loop_
_atom_site_label
_atom_site_type_symbol
_atom_site_fract_x
_atom_site_fract_y
_atom_site_fract_z
Rb1 Rb 0.000 0.500 0.000
Zr1 Zr 0.000 0.000 0.500
Si1 Si 0.000 0.000 0.000
Sb1 Sb 0.500 0.500 0.500
```

## Properties
Formation energy without anion corrections: 3.15 eV/f.u.
DOS at the Fermi energy: 0.840 states/eV per atom
Electronic total energy: -3.3764 eV/atom

***

This record from the Alexandria database describes a relaxed structure of Rb3SmSb2Te6. The functional is PBE-GGA.

Cell and atoms, written as CIF:
```
data_Rb3SmSb2Te6
_chemical_formula_sum 'Rb6 Sm2 Sb4 Te12'
_symmetry_space_group_name_H-M 'C 1 2/m 1'
_symmetry_Int_Tables_number 12
_cell_length_a 7.934
_cell_length_b 13.742
_cell_length_c 8.945
_cell_angle_alpha 90.00
_cell_angle_beta 107.21
_cell_angle_gamma 90.00
loop_
_symmetry_equiv_pos_as_xyz
'x,y,z'
'-x,-y,-z'
'-x,y,-z'
'x,-y,z'
'x+1/2,y+1/2,z'
'-x+1/2,-y+1/2,-z'
'-x+1/2,y+1/2,-z'
'x+1/2,-y+1/2,z'
loop_
_atom_site_label
_atom_site_type_symbol
_atom_site_fract_x
_atom_site_fract_y
_atom_site_fract_z
Rb1 Rb 0.000 0.000 0.000
Rb2 Rb 0.000 0.334 0.000
Sm1 Sm 0.000 0.500 0.500
Sb1 Sb 0.000 0.167 0.500
Te1 Te 0.228 0.000 0.698
Te2 Te 0.235 0.331 0.698
```

## Properties
Formation energy without anion corrections: -9.71 eV/f.u.
Electronic total energy: -3.7021 eV/atom

***

This record from the Alexandria database describes a relaxed structure of RbSnSb2. The functional is PBE-GGA.

Cell and atoms, written as CIF:
```
data_RbSnSb2
_chemical_formula_sum 'Rb4 Sn4 Sb8'
_symmetry_space_group_name_H-M 'P n a 21'
_symmetry_Int_Tables_number 33
_cell_length_a 7.468
_cell_length_b 13.419
_cell_length_c 6.423
_cell_angle_alpha 90.00
_cell_angle_beta 90.00
_cell_angle_gamma 90.00
loop_
_symmetry_equiv_pos_as_xyz
'x,y,z'
'-x,-y,z+1/2'
'-x+1/2,y+1/2,z+1/2'
'x+1/2,-y+1/2,z'
loop_
_atom_site_label
_atom_site_type_symbol
_atom_site_fract_x
_atom_site_fract_y
_atom_site_fract_z
Rb1 Rb 0.133 0.138 0.000
Sn1 Sn 0.057 0.636 0.014
Sb1 Sb 0.138 0.413 0.131
Sb2 Sb 0.169 0.856 0.998
```

## Properties
Formation energy without anion corrections: -0.64 eV/f.u.
DOS at the Fermi energy: 0.324 states/eV per atom
Electronic total energy: -3.4629 eV/atom

***

Q: The highest electronic total energy belongs to which entry?
A: number 2

***

Q: electronic total energy of number 4 (Rb2ZrSiSb)?
A: -3.3764 eV/atom